Here is a PBEsol-optimized structure of Cd2CuIr from the Alexandria database. Energies are from SCAN.

Results
Density in g cm⁻³: 12.5
Energy relative to the elements in meV/atom: 175

Cell lengths 4.4877, 4.4877, 4.4877 Å; angles 60.00, 60.00, 60.00 degrees
Fractional positions:
Cu: 0.0000 0.0000 0.0000
Cd: 0.2500 0.2500 0.2500
Ir: 0.5000 0.5000 0.5000
Cd: 0.7500 0.7500 0.7500

Here is a PBEsol-optimized structure of Cd2CuIr from the Alexandria database. Energies are from SCAN.

Results
Density in g cm⁻³: 12.4
Energy relative to the elements in meV/atom: 130

Cell lengths 2.9635, 4.6672, 5.2095 Å; angles 110.70, 106.52, 90.00 degrees
Fractional positions:
Cd: 0.9868 0.9474 0.9736
Cd: 0.7652 0.3053 0.5304
Cu: 0.5170 0.4646 0.0339
Ir: 0.2310 0.7826 0.4621

Here is a PBEsol-optimized structure of Cd2CuIr from the Alexandria database. Energies are from SCAN.

Results
Density in g cm⁻³: 12.6
Energy relative to the elements in meV/atom: 192

Cell lengths 2.8626, 2.8626, 9.0730 Å; angles 80.92, 80.92, 60.00 degrees
Fractional positions:
Cu: 0.5000 0.5000 0.5000
Cd: 0.7522 0.7522 0.7433
Cd: 0.2478 0.2478 0.2567
Ir: 0.0000 0.0000 0.0000

Here is a PBEsol-optimized structure of KCdCu2 from the Alexandria database. Energies are from SCAN.

Results
Density in g cm⁻³: 6.0
Energy relative to the elements in meV/atom: 337

Cell lengths 2.8055, 5.2260, 6.0443 Å; angles 115.61, 103.42, 90.00 degrees
Fractional positions:
Cd: 0.2906 0.7906 0.5812
Cu: 0.0165 0.0165 0.0330
K: 0.4903 0.4903 0.9806
Cu: 0.7026 0.2026 0.4053

Here is a PBEsol-optimized structure of KCdCuTc2 from the Alexandria database. Energies are from SCAN.

Results
Density in g cm⁻³: 6.0
Energy relative to the elements in meV/atom: 1521

Cell lengths 4.6559, 4.6559, 5.2212 Å; angles 90.00, 90.00, 90.00 degrees
Fractional positions:
Tc: 0.0000 0.5000 0.0000
K: 0.0000 0.0000 0.5000
Tc: 0.5000 0.0000 0.0000
Cu: 0.0000 0.0000 0.0000
Cd: 0.5000 0.5000 0.5000

Here is a PBEsol-optimized structure of La2CdCu from the Alexandria database. Energies are from SCAN.

Results
Density in g cm⁻³: 7.2
Energy relative to the elements in meV/atom: -232

Cell lengths 3.7631, 5.2734, 5.2734 Å; angles 90.00, 90.00, 90.00 degrees
Fractional positions:
Cd: 0.5000 0.5000 0.5000
La: 0.0000 0.5000 0.0000
La: 0.0000 0.0000 0.5000
Cu: 0.5000 0.0000 0.0000